Entry from the Alexandria database: V2NiH2 after structural relaxation (PBE).

Cell and atoms, written as POSCAR:
```
V2NiH2
1.0
4.7284 -0.0011 0.4324
2.3644 4.0886 0.2137
2.7640 -0.0009 4.5619
H V Ni
4 4 2
Direct
0.3497 0.8300 0.9991 H
0.6503 0.1700 0.0009 H
0.3200 0.8299 0.5012 H
0.6800 0.1701 0.4988 H
0.1614 0.1778 0.2501 V
0.8386 0.8222 0.7499 V
0.4958 0.5060 0.7504 V
0.5042 0.4940 0.2496 V
0.8403 0.8188 0.2505 Ni
0.1597 0.1812 0.7495 Ni
```

SG	No. 2
density	6.5	g cm⁻³
excess energy over the best structure of this formula in the dataset	0.0	kJ/mol of formula units
raw total energy	-0.4633	Ry per atom